Entry 1:
Below is a relaxed Sr2NbNi crystal, with properties calculated at the PBE-GGA level.

Computed properties:
Calculated density = 5.4 g/cm3
VASP energy = -3.81 eV/atom

POSCAR file:
```
Sr2NbNi
1.0
2.6159 1.5103 4.2718
-2.6159 1.5103 4.2718
0.0000 -3.0206 4.2718
Sr Ni Nb
2 1 1
direct
0.7500 0.7500 0.7500 Sr
0.5000 0.5000 0.5000 Sr
0.0000 0.0000 0.0000 Ni
0.2500 0.2500 0.2500 Nb
```

=====

Entry 2:
Below is a relaxed TaNbNi crystal, with properties calculated at the PBE-GGA level.

Computed properties:
Calculated density = 10.4 g/cm3
ΔH_f (0 K) = 338 meV per atom

POSCAR file:
```
TaNbNi
1.0
-1.2428 -3.3986 2.1569
-4.0007 -1.2985 -0.2371
-0.9407 -3.5628 -2.0418
Ni Nb Ta
1 1 1
direct
0.0000 0.0000 0.0000 Ni
0.2500 0.2500 0.2500 Nb
0.7500 0.7500 0.7500 Ta
```

=====

Entry 3:
Below is a relaxed TaNbNi2 crystal, with properties calculated at the PBE-GGA level.

Computed properties:
Calculated density = 11.2 g/cm3
ΔH_f (0 K) = 112 meV per atom

POSCAR file:
```
TaNbNi2
1.0
0.7625 0.2624 4.2686
-0.6362 3.7528 2.0934
-3.3154 0.4026 2.7779
Ta Ni Nb
1 2 1
direct
0.5000 0.5000 0.5000 Ta
0.2500 0.2500 0.2500 Ni
0.0000 0.0000 0.0000 Ni
0.7500 0.7500 0.7500 Nb
```

=====

Entry 4:
Below is a relaxed TaNb2Ni crystal, with properties calculated at the PBE-GGA level.

Computed properties:
Calculated density = 10.7 g/cm3
ΔH_f (0 K) = 14 meV per atom

POSCAR file:
```
TaNb2Ni
1.0
4.3792 -1.0231 0.5813
1.6606 -0.5653 4.1815
1.1920 -4.1360 1.4262
Ta Nb Ni
1 2 1
direct
0.5000 0.5000 0.5000 Ta
0.7500 0.7500 0.7500 Nb
0.0000 0.0000 0.0000 Nb
0.2500 0.2500 0.2500 Ni
```

=====

Q: What is the calculated density in the third record?
A: 11.2 g/cm3